1.
This record from the Alexandria database describes a relaxed ZrCu2Sb crystal. The functional is PBE-GGA.

extended XYZ file:
```
4
Lattice="3.538 0.020 0.000 -0.017 3.538 0.000 0.000 0.000 5.785" Properties=species:S:1:pos:R:3 pbc="T T T"
Cu 0.000 0.000 5.723
Cu 0.000 0.000 2.954
Sb 1.760 1.779 1.446
Zr 1.760 1.779 4.339
```

Formation energy without anion corrections (eV per atom): -0.0575
SG: P4/mmm, No. 123
Total moment (μB per cell): 0.054
Calculated volume (A^3/atom): 18.1

***

2.
This record from the Alexandria database describes a relaxed HoSb2Pd crystal. The functional is PBE-GGA.

extended XYZ file:
```
4
Lattice="3.481 0.000 0.000 1.741 3.015 0.000 1.741 1.005 9.948" Properties=species:S:1:pos:R:3 pbc="T T T"
Sb 1.741 1.005 6.885
Sb 5.222 3.015 3.064
Ho 0.000 0.000 0.000
Pd 3.481 2.010 4.974
```

Formation energy without anion corrections (eV per atom): -0.1513
SG: R-3m, No. 166
Total moment (μB per cell): 0.000
Calculated volume (A^3/atom): 26.1

***

3.
This record from the Alexandria database describes a relaxed CaTb2Zr crystal. The functional is PBE-GGA.

extended XYZ file:
```
4
Lattice="-1.164 2.508 -2.141 -3.255 1.228 0.352 2.416 9.416 6.861" Properties=species:S:1:pos:R:3 pbc="T T T"
Ca -1.002 6.576 2.536
Tb -1.398 10.084 4.004
Tb -0.605 3.069 1.068
Zr 0.000 0.000 0.000
```

Offset from the most stable computed form (meV per atom): 20
SG: R-3m, No. 166
Energy of formation from the pure elements (eV per atom): 0.12
Total moment (μB per cell): 0.000
Calculated volume (A^3/atom): 31.0

***

4.
This record from the Alexandria database describes a relaxed Tc5Ir4 crystal. The functional is PBE-GGA.

extended XYZ file:
```
9
Lattice="-4.113 4.113 1.929 4.113 -4.113 1.929 4.113 4.113 -1.929" Properties=species:S:1:pos:R:3 pbc="T T T"
Tc 0.000 0.000 0.000
Tc 1.380 1.380 1.929
Tc 2.733 2.733 0.000
Tc -1.380 1.380 1.929
Tc 1.380 -1.380 1.929
Ir 5.527 0.000 0.000
Ir 2.699 0.000 0.000
Ir 0.000 5.527 0.000
Ir 0.000 2.699 0.000
```

Offset from the most stable computed form (meV per atom): 0
SG: I4/mmm, No. 139
Energy of formation from the pure elements (eV per atom): -0.14
Total moment (μB per cell): 0.000
Calculated volume (A^3/atom): 14.5

***

5.
This record from the Alexandria database describes a relaxed Si2AgIr2 crystal. The functional is PBE-GGA.

extended XYZ file:
```
10
Lattice="7.204 0.000 0.000 0.000 7.204 0.000 0.000 0.000 2.784" Properties=species:S:1:pos:R:3 pbc="T T T"
Si 2.535 6.137 0.000
Si 6.137 4.669 0.000
Si 4.669 1.067 0.000
Si 1.067 2.535 0.000
Ir 1.046 4.648 1.392
Ir 4.648 6.158 1.392
Ir 6.158 2.556 1.392
Ir 2.556 1.046 1.392
Ag 0.000 0.000 0.000
Ag 3.602 3.602 0.000
```

Formation energy without anion corrections (eV per atom): -0.3798
Offset from the most stable computed form (meV per atom): 58
SG: P4/mbm, No. 127
Total moment (μB per cell): 0.000
Calculated volume (A^3/atom): 14.4

***

6.
This record from the Alexandria database describes a relaxed MgCd2HgP crystal. The functional is PBE-GGA.

extended XYZ file:
```
5
Lattice="-0.662 -5.472 1.471 3.454 0.431 3.159 -3.813 1.526 3.960" Properties=species:S:1:pos:R:3 pbc="T T T"
P 1.727 0.216 1.579
Mg 0.000 0.000 0.000
Hg -0.511 -1.757 4.295
Cd -1.906 0.763 1.980
Cd -0.331 -2.736 0.735
```

SG: P4/mmm, No. 123
Energy of formation from the pure elements (eV per atom): 0.37
Total moment (μB per cell): 0.000
Calculated volume (A^3/atom): 30.6

***

7.
This record from the Alexandria database describes a relaxed YMg2In2 crystal. The functional is PBE-GGA.

extended XYZ file:
```
5
Lattice="4.451 0.000 0.000 0.000 4.451 0.000 2.226 2.226 6.380" Properties=species:S:1:pos:R:3 pbc="T T T"
Y 0.000 0.000 0.000
Mg 4.451 2.226 3.190
Mg 2.226 4.451 3.190
In 2.226 2.226 1.365
In 4.451 4.451 5.014
```

Offset from the most stable computed form (meV per atom): 0
SG: I4/mmm, No. 139
Energy of formation from the pure elements (eV per atom): -0.23
Total moment (μB per cell): 0.000
Calculated volume (A^3/atom): 25.3

***

8.
This record from the Alexandria database describes a relaxed CePIrN crystal. The functional is PBE-GGA.

extended XYZ file:
```
8
Lattice="-1.372 -1.197 3.452 -3.410 -0.904 -1.669 2.736 -7.515 -1.519" Properties=species:S:1:pos:R:3 pbc="T T T"
Ce 0.591 -6.759 -2.109
Ce -0.246 -1.807 1.482
P -0.786 -2.975 -1.344
P 1.132 -5.591 0.717
Ir 1.368 -3.757 -0.759
Ir -1.023 -4.808 0.132
N 1.695 -7.138 0.404
N -1.350 -1.428 -1.032
```

Formation energy without anion corrections (eV per atom): -1.0867
SG: P4/nmm, No. 129
Total moment (μB per cell): 1.576
Calculated volume (A^3/atom): 15.5